No. 1
Computed, not measured: HoEr7Hg4 after structural relaxation at the PBE-GGA level of DFT.

Lattice parameters (Å, degrees): 5.641 8.901 7.771 70.46 68.72 71.53
Atoms (fractional coordinates):
Er: 0.933 0.406 0.728
Er: 0.734 0.314 0.219
Er: 0.792 0.885 0.532
Er: 0.067 0.594 0.272
Er: 0.500 0.000 0.000
Er: 0.266 0.686 0.781
Er: 0.208 0.115 0.468
Hg: 0.547 0.275 0.631
Hg: 0.689 0.661 0.962
Hg: 0.311 0.339 0.038
Hg: 0.453 0.725 0.369
Ho: 0.000 0.000 0.000

Properties
**Formation energy from the elements**: -0.09 eV/atom
**N(E_F)**: 12.188 states/eV per cell



No. 2
Computed, not measured: Pr2NdDy2Er2 after structural relaxation at the PBE-GGA level of DFT.

Lattice parameters (Å, degrees): 3.511 9.291 8.516 118.87 90.00 100.89
Atoms (fractional coordinates):
Dy: 0.571 0.141 0.236
Dy: 0.429 0.859 0.764
Pr: 0.648 0.295 0.912
Pr: 0.352 0.705 0.088
Er: 0.212 0.423 0.622
Er: 0.788 0.577 0.378
Nd: 0.000 0.000 0.500

Properties
**Formation energy from the elements**: 0.15 eV/atom
**N(E_F)**: 12.099 states/eV per cell



No. 3
Computed, not measured: Ni3PbS2 after structural relaxation at the PBE-GGA level of DFT.

Lattice parameters (Å, degrees): 3.779 7.344 8.051 112.54 90.00 104.91
Atoms (fractional coordinates):
S: 0.507 0.014 0.224
S: 0.820 0.640 0.343
S: 0.180 0.360 0.657
S: 0.493 0.986 0.776
Ni: 0.947 0.894 0.618
Ni: 0.682 0.363 0.393
Ni: 0.406 0.811 0.374
Ni: 0.594 0.189 0.626
Ni: 0.318 0.637 0.607
Ni: 0.053 0.106 0.382
Pb: 0.153 0.306 0.112
Pb: 0.847 0.694 0.888

Properties
**E_form (uncorrected)**: -0.223 eV per atom
**N(E_F)**: 11.931 states/eV per cell



No. 4
Computed, not measured: NaTm2Pd after structural relaxation at the PBE-GGA level of DFT.

Lattice parameters (Å, degrees): 3.980 3.980 10.583 79.16 79.16 60.00
Atoms (fractional coordinates):
Pd: 0.500 0.500 0.500
Tm: 0.118 0.118 0.645
Tm: 0.882 0.882 0.355
Na: 0.000 0.000 0.000

Properties
**Formation energy from the elements**: -0.19 eV/atom
**ΔE to the lowest computed polymorph**: 133.3 meV/atom
**N(E_F)**: 2.458 states/eV per cell



No. 5
Computed, not measured: FePdCl3 after structural relaxation at the PBE-GGA level of DFT.

Lattice parameters (Å, degrees): 4.796 4.796 4.796 90.00 90.00 90.00
Site moments in Bohr magnetons follow the coordinates.
Atoms (fractional coordinates):
Cl: 0.500 0.000 0.000  0.22
Cl: 0.000 0.500 0.000  0.18
Cl: 0.000 0.000 0.500  0.09
Pd: 0.500 0.500 0.500  0.61
Fe: 0.000 0.000 0.000  3.64

Properties
**ΔE to the lowest computed polymorph**: 0.0 meV/atom
**E_form (uncorrected)**: -0.040 eV per atom
**N(E_F)**: 10.226 states/eV per cell



No. 6
Computed, not measured: PuTh2Ta after structural relaxation at the PBE-GGA level of DFT.

Lattice parameters (Å, degrees): 3.274 3.274 11.786 82.02 82.02 60.00
Site moments in Bohr magnetons follow the coordinates.
Atoms (fractional coordinates):
Pu: 0.000 0.000 0.000  5.46
Ta: 0.500 0.500 0.500  -0.09
Th: 0.090 0.090 0.731  -0.06
Th: 0.910 0.910 0.269  -0.06

Properties
**Formation energy from the elements**: 0.52 eV/atom
**N(E_F)**: 10.922 states/eV per cell



No. 7
Computed, not measured: LiTmGaPd after structural relaxation at the PBE-GGA level of DFT.

Lattice parameters (Å, degrees): 4.625 4.625 4.625 60.00 60.00 60.00
Atoms (fractional coordinates):
Pd: 0.500 0.500 0.500
Ga: 0.250 0.250 0.250
Li: 0.000 0.000 0.000
Tm: 0.750 0.750 0.750

Properties
**Formation energy from the elements**: -0.63 eV/atom
**N(E_F)**: 4.714 states/eV per cell



No. 8
Computed, not measured: BaHgTe2 after structural relaxation at the PBE-GGA level of DFT.

Lattice parameters (Å, degrees): 6.431 6.431 6.431 134.38 134.38 66.50
Atoms (fractional coordinates):
Te: 0.000 0.000 0.000
Te: 0.500 0.500 0.000
Ba: 0.250 0.750 0.500
Hg: 0.750 0.250 0.500

Properties
**E_form (uncorrected)**: -0.751 eV per atom
**N(E_F)**: 1.363 states/eV per cell



No. 9
Computed, not measured: Y2ScZn2 after structural relaxation at the PBE-GGA level of DFT.

Lattice parameters (Å, degrees): 8.323 8.323 3.439 90.00 90.00 90.00
Site moments in Bohr magnetons follow the coordinates.
Atoms (fractional coordinates):
Y: 0.355 0.855 0.000  0.15
Y: 0.145 0.355 0.000  0.16
Y: 0.645 0.145 0.000  0.15
Y: 0.855 0.645 0.000  0.16
Sc: 0.000 0.000 0.000  0.26
Sc: 0.500 0.500 0.000  0.26
Zn: 0.845 0.345 0.500  0.01
Zn: 0.155 0.655 0.500  0.01
Zn: 0.345 0.155 0.500  0.01
Zn: 0.655 0.845 0.500  0.01

Properties
**Formation energy from the elements**: -0.06 eV/atom
**ΔE to the lowest computed polymorph**: 183.5 meV/atom
**N(E_F)**: 9.149 states/eV per cell



No. 10
Computed, not measured: Mn2ZnIrCl after structural relaxation at the PBE-GGA level of DFT.

Lattice parameters (Å, degrees): 4.198 4.512 4.198 90.00 90.00 90.00
Site moments in Bohr magnetons follow the coordinates.
Atoms (fractional coordinates):
Cl: 0.000 0.000 0.000  0.00
Ir: 0.000 0.500 0.000  0.22
Zn: 0.500 0.500 0.500  -0.08
Mn: 0.500 0.000 0.000  3.02
Mn: 0.000 0.000 0.500  2.79

Properties
**E_form (uncorrected)**: 0.782 eV per atom
**N(E_F)**: 1.860 states/eV per cell



No. 11
Computed, not measured: Li7ZnAg4 after structural relaxation at the PBE-GGA level of DFT.

Lattice parameters (Å, degrees): 4.790 7.469 6.970 64.71 69.90 71.30
Atoms (fractional coordinates):
Li: 0.228 0.751 0.794
Li: 0.794 0.868 0.544
Li: 0.500 0.000 0.000
Li: 0.772 0.249 0.206
Li: 0.927 0.411 0.735
Li: 0.206 0.132 0.456
Li: 0.073 0.589 0.265
Ag: 0.436 0.718 0.410
Ag: 0.320 0.368 0.992
Ag: 0.680 0.632 0.008
Ag: 0.564 0.282 0.590
Zn: 0.000 0.000 0.000

Properties
**Formation energy from the elements**: -0.08 eV/atom
**N(E_F)**: 4.896 states/eV per cell



No. 12
Computed, not measured: RbNdCuO2 after structural relaxation at the PBE-GGA level of DFT.

Lattice parameters (Å, degrees): 5.334 6.289 7.102 89.87 90.00 90.00
Atoms (fractional coordinates):
O: 0.291 0.167 0.000
O: 0.709 0.167 0.500
O: 0.709 0.833 0.000
O: 0.291 0.833 0.500
Cu: 0.000 0.000 0.500
Cu: 0.000 0.000 0.000
Rb: 0.996 0.500 0.250
Rb: 0.004 0.500 0.750
Nd: 0.500 0.000 0.750
Nd: 0.500 0.000 0.250

Properties
**E_form (uncorrected)**: -1.569 eV per atom
**N(E_F)**: 5.461 states/eV per cell



No. 13
Computed, not measured: TlAg2AsBr6 after structural relaxation at the PBE-GGA level of DFT.

Lattice parameters (Å, degrees): 7.502 7.498 8.024 90.01 118.04 119.92
Atoms (fractional coordinates):
Br: 0.113 0.195 0.713
Br: 0.177 0.378 0.191
Br: 0.810 0.614 0.713
Br: 0.408 0.028 0.192
Br: 0.532 0.918 0.714
Br: 0.828 0.798 0.191
Tl: 0.978 0.488 0.453
Ag: 0.630 0.815 0.431
Ag: 0.479 0.240 0.705
As: 0.009 0.004 0.999

Properties
**E_form (uncorrected)**: -0.439 eV per atom
**N(E_F)**: 0.000 states/eV per cell



No. 14
Computed, not measured: CdPbSe2 after structural relaxation at the PBE-GGA level of DFT.

Lattice parameters (Å, degrees): 6.633 6.633 4.527 90.55 90.55 37.66
Atoms (fractional coordinates):
Cd: 0.536 0.536 0.500
Se: 0.998 0.998 0.167
Se: 0.734 0.734 0.695
Pb: 0.233 0.233 0.137

Properties
**E_form (uncorrected)**: -0.422 eV per atom



No. 15
Computed, not measured: TmPaTlAg after structural relaxation at the PBE-GGA level of DFT.

Lattice parameters (Å, degrees): 5.248 5.248 5.248 60.00 60.00 60.00
Site moments in Bohr magnetons follow the coordinates.
Atoms (fractional coordinates):
Tm: 0.250 0.250 0.250  0.37
Pa: 0.750 0.750 0.750  1.20
Tl: 0.500 0.500 0.500  -0.01
Ag: 0.000 0.000 0.000  0.04

Properties
**Formation energy from the elements**: 0.10 eV/atom
**N(E_F)**: 7.979 states/eV per cell



No. 16
Computed, not measured: Zn3OsRh after structural relaxation at the PBE-GGA level of DFT.

Lattice parameters (Å, degrees): 4.705 4.705 4.705 90.00 90.00 90.00
Site moments in Bohr magnetons follow the coordinates.
Atoms (fractional coordinates):
Zn: 0.000 0.500 0.000  0.01
Zn: 0.000 0.000 0.500  0.01
Zn: 0.500 0.000 0.000  0.00
Rh: 0.500 0.500 0.500  1.08
Os: 0.000 0.000 0.000  0.62

Properties
**Formation energy from the elements**: 1.09 eV/atom
**N(E_F)**: 4.446 states/eV per cell



No. 17
Computed, not measured: Ta2NbTlRh after structural relaxation at the PBE-GGA level of DFT.

Lattice parameters (Å, degrees): 4.801 4.951 4.801 90.00 90.00 90.00
Atoms (fractional coordinates):
Ta: 0.500 0.000 0.000
Ta: 0.000 0.000 0.500
Nb: 0.500 0.500 0.500
Tl: 0.000 0.500 0.000
Rh: 0.000 0.000 0.000

Properties
**Formation energy from the elements**: 1.24 eV/atom
**N(E_F)**: 7.641 states/eV per cell



No. 18
Computed, not measured: NiMoW2 after structural relaxation at the PBE-GGA level of DFT.

Lattice parameters (Å, degrees): 9.466 9.466 9.466 16.65 16.65 16.65
Atoms (fractional coordinates):
W: 0.494 0.494 0.494
W: 0.006 0.006 0.006
Ni: 0.750 0.750 0.750
Mo: 0.250 0.250 0.250

Properties
**Formation energy from the elements**: 0.34 eV/atom
**ΔE to the lowest computed polymorph**: 275.8 meV/atom
**N(E_F)**: 3.689 states/eV per cell



No. 19
Computed, not measured: Sr2SbW after structural relaxation at the PBE-GGA level of DFT.

Lattice parameters (Å, degrees): 10.938 10.938 10.938 18.19 18.19 18.19
Atoms (fractional coordinates):
Sr: 0.996 0.996 0.996
Sr: 0.504 0.504 0.504
W: 0.250 0.250 0.250
Sb: 0.750 0.750 0.750

Properties
**E_form (uncorrected)**: 0.715 eV per atom
**N(E_F)**: 2.942 states/eV per cell



No. 20
Computed, not measured: NdHfSc after structural relaxation at the PBE-GGA level of DFT.

Lattice parameters (Å, degrees): 3.357 3.357 16.334 90.00 90.00 120.00
Atoms (fractional coordinates):
Nd: 0.278 0.556 0.822
Nd: 0.278 0.556 0.178
Hf: 0.611 0.222 0.348
Hf: 0.611 0.222 0.652
Sc: 0.612 0.224 0.000
Sc: 0.277 0.555 0.500

Properties
**Formation energy from the elements**: 0.16 eV/atom
**ΔE to the lowest computed polymorph**: 34.8 meV/atom
**N(E_F)**: 10.113 states/eV per cell